No. 1
{"formula": "Th2ZnGa4Au3", "functional": "PBE", "state": "relaxed", "cell": [[4.3279, 0.0000, 0.0000], [0.0000, 4.3279, 0.0000], [0.0000, 0.0000, 10.8566]], "species": ["Th", "Th", "Zn", "Ga", "Ga", "Ga", "Ga", "Au", "Au", "Au"], "frac_coords": [[0.5000, 0.0000, 0.2557], [0.0000, 0.5000, 0.7443], [0.5000, 0.5000, 0.5000], [0.5000, 0.5000, 0.0000], [0.0000, 0.0000, 0.0000], [0.5000, 0.0000, 0.6317], [0.0000, 0.5000, 0.3683], [0.0000, 0.0000, 0.5000], [0.5000, 0.0000, 0.8628], [0.0000, 0.5000, 0.1372]], "magmom_total_mub_per_fu": 0.000, "space_group": "P-4m2", "n_ef_per_ev_cell": 4.2, "e_form_mev_per_atom": -568, "dft_energy_ev_per_atom": -4.373}


No. 2
{"formula": "Th2Zn3Ga4Au", "functional": "PBE", "state": "relaxed", "cell": [[4.2937, 0.0000, 0.0000], [0.0000, 4.2937, 0.0000], [0.0000, 0.0000, 10.5934]], "species": ["Th", "Th", "Zn", "Zn", "Zn", "Ga", "Ga", "Ga", "Ga", "Au"], "frac_coords": [[0.5000, 0.0000, 0.2504], [0.0000, 0.5000, 0.7496], [0.0000, 0.0000, 0.5000], [0.5000, 0.0000, 0.8671], [0.0000, 0.5000, 0.1329], [0.5000, 0.5000, 0.0000], [0.0000, 0.0000, 0.0000], [0.5000, 0.0000, 0.6379], [0.0000, 0.5000, 0.3621], [0.5000, 0.5000, 0.5000]], "magmom_total_mub_per_fu": 0.000, "space_group": "P-4m2", "n_ef_per_ev_cell": 3.2, "e_form_mev_per_atom": -466, "dft_energy_ev_per_atom": -3.870}


No. 3
{"formula": "ThZnGa2Au", "functional": "PBE", "state": "relaxed", "cell": [[4.2953, 0.0000, 0.0000], [0.0000, 4.2953, 0.0000], [-2.1476, -2.1476, 5.3675]], "species": ["Th", "Zn", "Ga", "Ga", "Au"], "frac_coords": [[0.0000, 0.0000, 0.0000], [0.7500, 0.2500, 0.5000], [0.6146, 0.6146, 0.2292], [0.3854, 0.3854, 0.7708], [0.2500, 0.7500, 0.5000]], "magmom_total_mub_per_fu": 0.000, "space_group": "I-4m2", "n_ef_per_ev_cell": 1.2, "e_form_mev_per_atom": -534, "dft_energy_ev_per_atom": -4.139}


No. 4
{"formula": "Th2Zn4Ga3Au", "functional": "PBE", "state": "relaxed", "cell": [[4.2798, 0.0000, 0.0000], [0.0000, 4.2798, 0.0000], [0.0000, 0.0000, 10.6048]], "species": ["Th", "Th", "Zn", "Zn", "Zn", "Zn", "Ga", "Ga", "Ga", "Au"], "frac_coords": [[0.5000, 0.0000, 0.2485], [0.0000, 0.5000, 0.7515], [0.5000, 0.5000, 0.0000], [0.0000, 0.0000, 0.0000], [0.5000, 0.0000, 0.6369], [0.0000, 0.5000, 0.3631], [0.0000, 0.0000, 0.5000], [0.5000, 0.0000, 0.8660], [0.0000, 0.5000, 0.1340], [0.5000, 0.5000, 0.5000]], "magmom_total_mub_per_fu": 0.000, "space_group": "P-4m2", "n_ef_per_ev_cell": 2.5, "e_form_mev_per_atom": -442, "dft_energy_ev_per_atom": -3.671}


No. 5
{"formula": "Th3Zn6GaAu2", "functional": "PBE", "state": "relaxed", "cell": [[5.4404, 0.0000, 0.0000], [-2.7202, 4.7116, 0.0000], [0.0000, 0.0000, 10.1132]], "species": ["Th", "Th", "Th", "Zn", "Zn", "Zn", "Zn", "Zn", "Zn", "Ga", "Au", "Au"], "frac_coords": [[0.3333, 0.6667, 0.5677], [0.6667, 0.3333, 0.4323], [0.0000, 0.0000, 0.0000], [0.6660, 0.8330, 0.2730], [0.1670, 0.3340, 0.2730], [0.1670, 0.8330, 0.2730], [0.8330, 0.6660, 0.7270], [0.3340, 0.1670, 0.7270], [0.8330, 0.1670, 0.7270], [0.0000, 0.0000, 0.5000], [0.6667, 0.3333, 0.9508], [0.3333, 0.6667, 0.0492]], "magmom_total_mub_per_fu": 0.000, "space_group": "P-3m1", "n_ef_per_ev_cell": 7.0, "e_form_mev_per_atom": -196, "dft_energy_ev_per_atom": -3.486}


No. 6
{"formula": "Th2ZnGa3Au4", "functional": "PBE", "state": "relaxed", "cell": [[-1.5343, 0.0052, 4.1657], [1.8097, -3.9977, 0.6716], [8.8201, 4.5375, 3.2429]], "species": ["Th", "Th", "Zn", "Ga", "Ga", "Ga", "Au", "Au", "Au", "Au"], "frac_coords": [[0.5000, 0.0000, 0.2470], [0.0000, 0.5000, 0.7530], [0.5000, 0.5000, 0.5000], [0.0000, 0.0000, 0.5000], [0.5000, 0.0000, 0.8659], [0.0000, 0.5000, 0.1341], [0.5000, 0.5000, 0.0000], [0.0000, 0.0000, 0.0000], [0.5000, 0.0000, 0.6285], [0.0000, 0.5000, 0.3715]], "magmom_total_mub_per_fu": 0.000, "space_group": "P-4m2", "n_ef_per_ev_cell": 4.3, "e_form_mev_per_atom": -565, "dft_energy_ev_per_atom": -4.396}


No. 7
{"formula": "TiGaAu", "functional": "PBE", "state": "relaxed", "cell": [[4.8198, 0.0107, -0.0174], [-1.6667, 3.6338, -0.0005], [-1.2661, -0.5812, 5.7028]], "species": ["Au", "Au", "Ga", "Ga", "Ti", "Ti"], "frac_coords": [[0.6859, 0.5151, 0.8124], [0.3491, 0.8466, 0.0060], [0.6589, 0.5013, 0.3243], [0.0051, 0.1747, 0.6640], [0.0026, 0.1734, 0.1804], [0.3231, 0.8334, 0.4948]], "magmom_total_mub_per_fu": 0.438, "space_group": "Cm", "n_ef_per_ev_cell": 3.7, "e_form_mev_per_atom": -356, "dft_energy_ev_per_atom": -5.089}


No. 8
{"formula": "Ti2Ga3Au2", "functional": "PBE", "state": "relaxed", "cell": [[-0.9640, 5.1474, -4.5134], [-2.3041, -5.9194, -2.7289], [-3.4723, 1.3592, 5.8217]], "species": ["Ti", "Ti", "Ti", "Ti", "Ga", "Ga", "Ga", "Ga", "Ga", "Ga", "Au", "Au", "Au", "Au"], "frac_coords": [[0.0000, 0.0000, 0.3649], [0.5000, 0.3649, 0.5000], [0.6351, 0.1351, 0.1351], [0.8649, 0.5000, 0.0000], [0.6658, 0.7500, 0.9158], [0.8342, 0.2500, 0.5842], [0.0842, 0.3342, 0.2500], [0.4158, 0.1658, 0.7500], [0.2500, 0.9158, 0.1658], [0.7500, 0.5842, 0.3342], [0.0000, 0.0000, 0.7725], [0.5000, 0.7725, 0.5000], [0.2275, 0.7275, 0.7275], [0.2725, 0.5000, 0.0000]], "magmom_total_mub_per_fu": 0.001, "space_group": "I2_13", "n_ef_per_ev_cell": 10.9, "e_form_mev_per_atom": -171, "dft_energy_ev_per_atom": -4.660}


No. 9
{"formula": "Ti12Ga3Au", "functional": "PBE", "state": "relaxed", "cell": [[-4.2182, 1.2027, -2.5503], [-2.5750, 0.2493, 4.3767], [2.3209, 9.8461, 0.8046]], "species": ["Ti", "Ti", "Ti", "Ti", "Ti", "Ti", "Ti", "Ti", "Ti", "Ti", "Ti", "Ti", "Ga", "Ga", "Ga", "Au"], "frac_coords": [[0.5000, 0.0000, 0.3742], [0.5000, 0.0000, 0.8758], [0.7502, 0.5000, 0.0000], [0.7506, 0.5000, 0.5000], [0.0000, 0.7503, 0.2497], [0.0000, 0.7503, 0.7503], [0.5000, 0.0000, 0.1242], [0.5000, 0.0000, 0.6258], [0.2498, 0.5000, 0.0000], [0.2494, 0.5000, 0.5000], [0.0000, 0.2497, 0.2497], [0.0000, 0.2497, 0.7503], [0.5000, 0.5000, 0.2502], [0.5000, 0.5000, 0.7498], [0.0000, 0.0000, 0.0000], [0.0000, 0.0000, 0.5000]], "magmom_total_mub_per_fu": 0.000, "space_group": "Pmmm", "n_ef_per_ev_cell": 13.4, "e_form_mev_per_atom": -333, "dft_energy_ev_per_atom": -7.027}


No. 10
{"formula": "Ti4GaAu", "functional": "PBE", "state": "relaxed", "cell": [[-4.0492, -1.3921, -0.5909], [1.1745, -3.9587, 1.2792], [-1.3778, 1.4991, 5.9071]], "species": ["Ti", "Ti", "Ti", "Ti", "Ga", "Au"], "frac_coords": [[0.5013, 0.9971, 0.2558], [0.5013, 0.9974, 0.7405], [0.0014, 0.4973, 0.7404], [0.0012, 0.4973, 0.2559], [0.0013, 0.9973, 0.4982], [0.5013, 0.4972, 0.9981]], "magmom_total_mub_per_fu": 0.002, "space_group": "P4/mmm", "n_ef_per_ev_cell": 9.2, "e_above_lowest_polymorph_mev_per_atom": 194, "e_form_mev_per_atom": 79, "dft_energy_ev_per_atom": -6.235}


No. 11
{"formula": "Ti8Ga2Au", "functional": "PBE", "state": "relaxed", "cell": [[-4.6681, 0.0593, 0.8654], [1.9650, -6.7524, 1.6158], [2.5460, 5.5050, 3.9090]], "species": ["Ti", "Ti", "Ti", "Ti", "Ti", "Ti", "Ti", "Ti", "Ga", "Ga", "Au"], "frac_coords": [[0.8369, 0.9014, 0.6725], [0.8369, 0.6725, 0.9014], [0.2858, 0.5856, 0.5856], [0.5000, 0.7836, 0.2164], [0.5000, 0.2164, 0.7836], [0.7142, 0.4144, 0.4144], [0.1631, 0.3275, 0.0986], [0.1631, 0.0986, 0.3275], [0.0000, 0.3049, 0.6951], [0.0000, 0.6951, 0.3049], [0.5000, 0.0000, 0.0000]], "magmom_total_mub_per_fu": 1.354, "space_group": "C2/m", "n_ef_per_ev_cell": 12.9, "e_form_mev_per_atom": -128, "dft_energy_ev_per_atom": -6.718}


No. 12
{"formula": "Ti3GaAu2", "functional": "PBE", "state": "relaxed", "cell": [[2.9378, 0.0000, 0.0000], [0.0000, 2.9378, 0.0000], [0.0000, 0.0000, 11.6249]], "species": ["Ti", "Ti", "Ti", "Ga", "Au", "Au"], "frac_coords": [[0.0000, 0.0000, 0.0000], [0.0000, 0.0000, 0.6600], [0.0000, 0.0000, 0.3400], [0.5000, 0.5000, 0.5000], [0.5000, 0.5000, 0.8315], [0.5000, 0.5000, 0.1685]], "magmom_total_mub_per_fu": 1.425, "space_group": "P4/mmm", "n_ef_per_ev_cell": 5.9, "e_form_mev_per_atom": -398, "dft_energy_ev_per_atom": -5.943}